{"formula": "Na4InPb", "functional": "PBE", "state": "optimized geometry", "m_tot_mub_per_cell": 0.00, "dft_energy_ev_per_cell": -11.4, "polymorph_energy_ev_per_atom": 0.163, "formation_enthalpy_0k_ev_per_atom": 0.048, "density_g_cm3": 3.88, "lattice_angstrom": [[6.304, 0.000, 0.000], [3.152, 5.460, 0.000], [3.152, 1.820, 5.148]], "species": ["Na", "Na", "Na", "Na", "Pb", "In"], "fractional_positions": [[0.125, 0.625, 0.625], [0.625, 0.625, 0.625], [0.625, 0.625, 0.125], [0.625, 0.125, 0.625], [0.000, 0.000, 0.000], [0.250, 0.250, 0.250]]}


{"formula": "Na3In7Pb2", "functional": "PBE", "state": "optimized geometry", "m_tot_mub_per_cell": 0.00, "dft_energy_ev_per_cell": -31.3, "polymorph_energy_ev_per_atom": 0.000, "formation_enthalpy_0k_ev_per_atom": -0.061, "density_g_cm3": 6.43, "lattice_angstrom": [[3.298, 0.000, 0.000], [0.000, 6.019, -0.561], [0.000, 0.243, 16.712]], "species": ["In", "In", "In", "In", "In", "In", "In", "Na", "Na", "Na", "Pb", "Pb"], "fractional_positions": [[0.000, 0.000, 0.000], [0.000, 0.722, 0.160], [0.500, 0.772, 0.839], [0.500, 0.252, 0.501], [0.500, 0.748, 0.499], [0.500, 0.228, 0.161], [0.000, 0.278, 0.840], [0.000, 0.455, 0.337], [0.000, 0.545, 0.663], [0.500, 0.500, 0.000], [0.500, 0.046, 0.675], [0.500, 0.954, 0.325]]}


{"formula": "Na3In2Pb4", "functional": "PBE", "state": "optimized geometry", "m_tot_mub_per_cell": 0.00, "dft_energy_ev_per_cell": -25.0, "polymorph_energy_ev_per_atom": 0.029, "formation_enthalpy_0k_ev_per_atom": -0.086, "density_g_cm3": 7.09, "lattice_angstrom": [[5.641, 0.003, -0.026], [2.811, 4.808, 0.330], [2.763, 2.279, 9.894]], "species": ["Na", "Na", "Na", "Pb", "Pb", "Pb", "Pb", "In", "In"], "fractional_positions": [[0.000, 0.000, 0.000], [0.354, 0.886, 0.412], [0.646, 0.114, 0.588], [0.676, 0.713, 0.932], [0.968, 0.390, 0.668], [0.324, 0.287, 0.068], [0.032, 0.610, 0.332], [0.712, 0.328, 0.250], [0.288, 0.672, 0.750]]}


{"formula": "Na3InPb", "functional": "PBE", "state": "optimized geometry", "m_tot_mub_per_cell": 0.00, "dft_energy_ev_per_cell": -9.3, "polymorph_energy_ev_per_atom": 0.333, "formation_enthalpy_0k_ev_per_atom": 0.211, "density_g_cm3": 3.16, "lattice_angstrom": [[-2.698, 0.963, -5.162], [-4.885, -2.587, 2.071], [-1.924, 5.218, 1.979]], "species": ["Na", "Na", "Na", "In", "Pb"], "fractional_positions": [[0.500, 0.000, 0.000], [0.000, 0.500, 0.000], [0.000, 0.000, 0.500], [0.500, 0.500, 0.500], [0.000, 0.000, 0.000]]}


{"formula": "Na2In6Pb", "functional": "PBE", "state": "optimized geometry", "m_tot_mub_per_cell": 0.00, "dft_energy_ev_per_cell": -23.3, "polymorph_energy_ev_per_atom": 0.002, "formation_enthalpy_0k_ev_per_atom": -0.059, "density_g_cm3": 6.32, "lattice_angstrom": [[-5.018, -3.746, 0.253], [3.213, -3.220, 4.378], [-2.324, 4.181, 4.121]], "species": ["In", "In", "In", "In", "In", "In", "Na", "Na", "Pb"], "fractional_positions": [[0.500, 0.833, 0.167], [0.500, 0.167, 0.833], [0.833, 0.167, 0.500], [0.833, 0.500, 0.167], [0.167, 0.500, 0.833], [0.167, 0.833, 0.500], [0.333, 0.333, 0.333], [0.667, 0.667, 0.667], [0.000, 0.000, 0.000]]}


{"formula": "NaInPb", "functional": "PBE", "state": "optimized geometry", "m_tot_mub_per_cell": 0.00, "dft_energy_ev_per_cell": -31.1, "formation_enthalpy_0k_ev_per_atom": -0.001, "density_g_cm3": 5.96, "lattice_angstrom": [[12.321, 0.000, 0.000], [0.000, 12.321, 0.000], [6.161, 6.161, 2.533]], "species": ["Na", "Na", "Na", "Na", "In", "In", "In", "In", "Pb", "Pb", "Pb", "Pb"], "fractional_positions": [[0.500, 0.299, 0.000], [0.299, 0.500, 0.000], [0.701, 0.500, 0.000], [0.500, 0.701, 0.000], [0.797, 0.797, 0.000], [0.203, 0.797, 0.000], [0.203, 0.203, 0.000], [0.797, 0.203, 0.000], [0.632, 0.000, 0.000], [0.368, 0.000, 0.000], [0.000, 0.632, 0.000], [0.000, 0.368, 0.000]]}


{"formula": "NaInPb", "functional": "PBE", "state": "optimized geometry", "m_tot_mub_per_cell": 0.00, "dft_energy_ev_per_cell": -16.1, "formation_enthalpy_0k_ev_per_atom": -0.099, "density_g_cm3": 6.77, "lattice_angstrom": [[4.874, -0.037, -0.009], [-2.437, 7.103, 0.010], [0.016, -0.004, 4.900]], "species": ["Na", "Na", "In", "In", "Pb", "Pb"], "fractional_positions": [[0.165, 0.331, 0.500], [0.835, 0.669, 0.500], [0.670, 0.337, 0.000], [0.330, 0.663, 0.000], [0.500, 0.000, 0.500], [0.000, 0.000, 0.000]]}


{"formula": "NaInPb", "functional": "PBE", "state": "optimized geometry", "m_tot_mub_per_cell": 0.00, "dft_energy_ev_per_cell": -15.5, "formation_enthalpy_0k_ev_per_atom": -0.001, "density_g_cm3": 6.46, "lattice_angstrom": [[-1.617, -14.295, 8.244], [-2.090, -15.578, 5.282], [3.238, -0.532, -0.287]], "species": ["Pb", "Pb", "In", "In", "Na", "Na"], "fractional_positions": [[0.451, 0.451, 0.500], [0.549, 0.549, 0.500], [0.210, 0.210, 0.500], [0.790, 0.790, 0.500], [0.363, 0.363, 0.000], [0.637, 0.637, 0.000]]}